Record 1
! BaSb2Pd (PBEsol, relaxed); values from VASP
&SYSTEM
  ibrav = 0, nat = 8, ntyp = 3
/
ATOMIC_SPECIES
Sb 121.76 Sb.upf
Ba 137.33 Ba.upf
Pd 106.42 Pd.upf
CELL_PARAMETERS angstrom
4.860 0.000 0.000
0.000 4.910 0.000
-2.430 0.000 9.234
ATOMIC_POSITIONS crystal
Sb 0.957 0.250 0.915
Sb 0.043 0.750 0.085
Sb 0.751 0.750 0.501
Sb 0.249 0.250 0.499
Ba 0.607 0.250 0.214
Ba 0.393 0.750 0.786
Pd 0.186 0.750 0.372
Pd 0.814 0.250 0.628
! uncorrected formation energy: -3.33 eV per formula unit

Record 2
! BaSb2Pd2 (PBEsol, relaxed); values from VASP
&SYSTEM
  ibrav = 0, nat = 5, ntyp = 3
/
ATOMIC_SPECIES
Sb 121.76 Sb.upf
Ba 137.33 Ba.upf
Pd 106.42 Pd.upf
CELL_PARAMETERS angstrom
-1.652 2.214 -3.786
-1.521 -4.084 -1.724
-3.252 1.665 5.294
ATOMIC_POSITIONS crystal
Sb 0.365 0.365 0.730
Sb 0.635 0.635 0.270
Ba 0.000 0.000 0.000
Pd 0.250 0.750 0.500
Pd 0.750 0.250 0.500
! uncorrected formation energy: -3.97 eV per formula unit

Record 3
! BaSbTe2Pd (PBEsol, relaxed); values from VASP
&SYSTEM
  ibrav = 0, nat = 5, ntyp = 4
/
ATOMIC_SPECIES
Sb 121.76 Sb.upf
Te 127.60 Te.upf
Ba 137.33 Ba.upf
Pd 106.42 Pd.upf
CELL_PARAMETERS angstrom
6.213 0.000 0.000
0.000 6.213 0.000
0.000 0.000 6.123
ATOMIC_POSITIONS crystal
Sb 0.000 0.000 0.500
Te 0.000 0.500 0.000
Te 0.500 0.000 0.000
Ba 0.000 0.000 0.000
Pd 0.500 0.500 0.500
! uncorrected formation energy: 5.73 eV per formula unit

Record 4
! BaScPd3 (PBEsol, relaxed); values from VASP
&SYSTEM
  ibrav = 0, nat = 5, ntyp = 3
/
ATOMIC_SPECIES
Sc 44.96 Sc.upf
Ba 137.33 Ba.upf
Pd 106.42 Pd.upf
CELL_PARAMETERS angstrom
-2.409 -2.192 3.706
3.924 0.631 2.924
-1.773 4.375 1.435
ATOMIC_POSITIONS crystal
Sc 0.000 0.000 0.000
Ba 0.500 0.500 0.500
Pd 0.000 0.500 0.000
Pd 0.000 0.000 0.500
Pd 0.500 0.000 0.000
! calculated formation energy: -0.17 eV/atom

Record 5
! BaPd2Se2 (PBEsol, relaxed); values from VASP
&SYSTEM
  ibrav = 0, nat = 5, ntyp = 3
/
ATOMIC_SPECIES
Se 78.96 Se.upf
Ba 137.33 Ba.upf
Pd 106.42 Pd.upf
CELL_PARAMETERS angstrom
-4.695 -1.270 -0.267
1.279 -4.698 -0.154
1.499 2.773 4.892
ATOMIC_POSITIONS crystal
Se 0.250 0.750 0.500
Se 0.750 0.250 0.500
Ba 0.000 0.000 0.000
Pd 0.340 0.340 0.680
Pd 0.660 0.660 0.320
! uncorrected formation energy: -4.16 eV per formula unit

Record 6
! BaPdSe2 (PBEsol, relaxed); values from VASP
&SYSTEM
  ibrav = 0, nat = 4, ntyp = 3
/
ATOMIC_SPECIES
Se 78.96 Se.upf
Ba 137.33 Ba.upf
Pd 106.42 Pd.upf
CELL_PARAMETERS angstrom
-1.381 2.036 -4.445
3.061 -0.395 -4.035
-1.291 -3.012 -3.882
ATOMIC_POSITIONS crystal
Se 0.250 0.250 0.250
Se 0.750 0.750 0.750
Ba 0.500 0.500 0.500
Pd 0.000 0.000 0.000
! uncorrected formation energy: -2.38 eV per formula unit

no.,magnetization (Bohr magnetons per cell),theoretical density (Mg/m³)
1,0.00,7.34
2,0.00,8.14
3,0.00,4.36
4,0.00,6.93
5,0.00,7.58
6,0.00,7.19